Record 1
## K2CeTlI6 (PBE-GGA)

Data for a geometry-optimized K2CeTlI6 structure.

Output
Space-group type ... No. 14
Formation energy from raw total energies ... -1.270 eV per atom
Crystal system ... monoclinic
Final energy ... -3.2492 eV/atom

Cell: 8.405 9.163 12.329 Å, 90.00 88.64 90.00°
Element x y z (fractional)
Ce  0.500  0.000  0.500
Ce  0.000  0.500  0.000
I  0.357  0.948  0.736
I  0.806  0.825  0.565
I  0.306  0.675  0.065
I  0.161  0.206  0.074
I  0.143  0.448  0.764
I  0.839  0.794  0.926
I  0.339  0.706  0.426
I  0.661  0.294  0.574
I  0.857  0.552  0.236
I  0.194  0.175  0.435
I  0.643  0.052  0.264
I  0.694  0.325  0.935
K  0.959  0.097  0.746
K  0.541  0.597  0.754
K  0.041  0.903  0.254
K  0.459  0.403  0.246
Tl  0.500  0.000  0.000
Tl  0.000  0.500  0.500

Record 2
## ErCuO3 (PBE-GGA)

Data for a geometry-optimized ErCuO3 structure.

Output
Space-group type ... No. 57
Formation energy from raw total energies ... -2.085 eV per atom
Crystal system ... orthorhombic
Final energy ... -6.7920 eV/atom

Cell: 3.745 5.294 12.234 Å, 90.00 90.00 90.00°
Element x y z (fractional)
O  0.743  0.491  0.080
O  0.257  0.991  0.920
O  0.257  0.491  0.580
O  0.257  0.509  0.920
O  0.743  0.991  0.420
O  0.743  0.009  0.080
O  0.257  0.009  0.580
O  0.743  0.509  0.420
O  0.838  0.500  0.750
O  0.838  0.000  0.750
O  0.162  0.000  0.250
O  0.162  0.500  0.250
Cu  0.085  0.750  0.827
Cu  0.915  0.250  0.173
Cu  0.915  0.750  0.327
Cu  0.085  0.250  0.673
Er  0.746  0.250  0.919
Er  0.746  0.750  0.581
Er  0.254  0.750  0.081
Er  0.254  0.250  0.419

Record 3
## Ce5HoGe4 (PBE-GGA)

Data for a geometry-optimized Ce5HoGe4 structure.

Output
Space-group type ... No. 12
Crystal system ... monoclinic
Final energy ... -5.7507 eV/atom

Cell: 4.543 7.513 9.762 Å, 120.91 103.46 90.00°
Element x y z (fractional)
Ge  0.679  0.113  0.358
Ge  0.030  0.295  0.059
Ge  0.321  0.887  0.642
Ge  0.970  0.705  0.941
Ce  0.852  0.176  0.703
Ce  0.148  0.824  0.297
Ce  0.197  0.389  0.394
Ce  0.500  0.500  0.000
Ce  0.803  0.611  0.606
Ho  0.500  0.000  0.000

Record 4
## Sm2ZnAu6 (PBE-GGA)

Data for a geometry-optimized Sm2ZnAu6 structure.

Output
Space-group type ... No. 164
Crystal system ... trigonal
Final energy ... -3.9632 eV/atom

Cell: 5.508 6.306 6.306 Å, 120.00 90.00 90.00°
Element x y z (fractional)
Zn  0.500  0.000  0.000
Au  0.192  0.638  0.819
Au  0.192  0.181  0.819
Au  0.808  0.362  0.181
Au  0.192  0.181  0.362
Au  0.808  0.819  0.181
Au  0.808  0.819  0.638
Sm  0.676  0.333  0.667
Sm  0.324  0.667  0.333

Among the records above, which one has the lowest final energy? ErCuO3